Below is a geometry-optimized KScSe2 structure, with properties calculated at the PBE level.

Space-group type ... F-43m (216)
Formation energy (no corrections) ... -0.3029 eV/atom
Crystal system ... cubic

Cell: 5.103 5.103 5.103 Å, 60.00 60.00 60.00°
Fractional coordinates of all 4 atoms:
K: 0.000 0.000 0.000
Sc: 0.250 0.250 0.250
Se: 0.500 0.500 0.500
Se: 0.750 0.750 0.750

Below is a geometry-optimized KScSe2 structure, with properties calculated at the PBE level.

Space-group type ... Imm2 (44)
Formation energy (no corrections) ... -1.4169 eV/atom
Crystal system ... orthorhombic

Cell: 8.178 8.178 8.178 Å, 154.51 152.55 37.81°
Fractional coordinates of all 4 atoms:
K: 0.000 0.000 0.000
Sc: 0.257 0.757 0.500
Se: 0.380 0.380 0.000
Se: 0.682 0.182 0.500

Below is a geometry-optimized KScSe2 structure, with properties calculated at the PBE level.

Space-group type ... Pna2_1 (33)
Formation energy (no corrections) ... -1.4844 eV/atom
Crystal system ... orthorhombic

Cell: 6.827 11.332 6.657 Å, 90.00 90.00 90.00°
Fractional coordinates of all 16 atoms:
K: 0.009 0.124 0.000
K: 0.491 0.624 0.500
K: 0.509 0.376 0.000
K: 0.991 0.876 0.500
Sc: 0.051 0.375 0.450
Sc: 0.449 0.875 0.950
Sc: 0.551 0.125 0.450
Sc: 0.949 0.625 0.950
Se: 0.020 0.410 0.070
Se: 0.083 0.837 0.010
Se: 0.417 0.337 0.510
Se: 0.480 0.910 0.570
Se: 0.520 0.090 0.070
Se: 0.583 0.663 0.010
Se: 0.917 0.163 0.510
Se: 0.980 0.590 0.570

Below is a geometry-optimized K2ScSe structure, with properties calculated at the PBE level.

Space-group type ... Cmmm (65)
Formation energy (no corrections) ... -0.0978 eV/atom
Crystal system ... orthorhombic

Cell: 5.934 5.934 4.367 Å, 90.00 90.00 120.92°
Fractional coordinates of all 4 atoms:
K: 0.000 0.500 0.000
K: 0.500 0.000 0.000
Sc: 0.000 0.000 0.500
Se: 0.500 0.500 0.500

Below is a geometry-optimized KScSe2 structure, with properties calculated at the PBE level.

Space-group type ... P2_1/c (14)
Formation energy (no corrections) ... -1.5130 eV/atom
Crystal system ... monoclinic

Cell: 10.520 3.940 14.285 Å, 90.00 132.75 90.00°
Fractional coordinates of all 16 atoms:
K: 0.072 0.249 0.411
K: 0.072 0.251 0.911
K: 0.928 0.749 0.089
K: 0.928 0.751 0.589
Sc: 0.438 0.249 0.844
Sc: 0.438 0.251 0.344
Sc: 0.562 0.749 0.656
Sc: 0.562 0.751 0.156
Se: 0.305 0.748 0.660
Se: 0.305 0.750 0.395
Se: 0.305 0.750 0.895
Se: 0.305 0.752 0.160
Se: 0.695 0.248 0.840
Se: 0.695 0.250 0.105
Se: 0.695 0.250 0.605
Se: 0.695 0.252 0.340

Below is a geometry-optimized KSc3Se structure, with properties calculated at the PBE level.

Space-group type ... Pm-3m (221)
Formation energy (no corrections) ... 1.3416 eV/atom
Crystal system ... cubic

Cell: 5.037 5.037 5.037 Å, 90.00 90.00 90.00°
Fractional coordinates of all 5 atoms:
K: 0.000 0.000 0.000
Sc: 0.000 0.000 0.500
Sc: 0.000 0.500 0.000
Sc: 0.500 0.000 0.000
Se: 0.500 0.500 0.500

Below is a geometry-optimized KScSe2 structure, with properties calculated at the PBE level.

Space-group type ... P4/mmm (123)
Formation energy (no corrections) ... -1.2918 eV/atom
Crystal system ... tetragonal

Cell: 3.494 3.494 7.878 Å, 90.00 90.00 90.00°
Fractional coordinates of all 4 atoms:
K: 0.000 0.000 0.000
Sc: 0.000 0.000 0.500
Se: 0.500 0.500 0.299
Se: 0.500 0.500 0.701

Below is a geometry-optimized K2ScSe structure, with properties calculated at the PBE level.

Space-group type ... Pmmm (47)
Formation energy (no corrections) ... -0.1904 eV/atom
Crystal system ... orthorhombic

Cell: 4.632 4.647 5.984 Å, 90.00 90.00 90.00°
Fractional coordinates of all 4 atoms:
K: 0.000 0.000 0.232
K: 0.000 0.000 0.768
Sc: 0.500 0.500 0.500
Se: 0.500 0.500 0.000

Below is a geometry-optimized KSc4Se6 structure, with properties calculated at the PBE level.

Space-group type ... Cmcm (63)
Formation energy (no corrections) ... -1.6206 eV/atom
Crystal system ... orthorhombic

Cell: 6.807 6.807 20.737 Å, 90.00 90.00 146.43°
Fractional coordinates of all 22 atoms:
K: 0.160 0.840 0.750
K: 0.840 0.160 0.250
Sc: 0.094 0.906 0.132
Sc: 0.094 0.906 0.368
Sc: 0.367 0.633 0.040
Sc: 0.367 0.633 0.460
Sc: 0.633 0.367 0.540
Sc: 0.633 0.367 0.960
Sc: 0.906 0.094 0.632
Sc: 0.906 0.094 0.868
Se: 0.000 0.000 0.000
Se: 0.000 0.000 0.500
Se: 0.148 0.852 0.250
Se: 0.272 0.728 0.580
Se: 0.272 0.728 0.920
Se: 0.460 0.540 0.152
Se: 0.460 0.540 0.348
Se: 0.540 0.460 0.652
Se: 0.540 0.460 0.848
Se: 0.728 0.272 0.080
Se: 0.728 0.272 0.420
Se: 0.852 0.148 0.750

Below is a geometry-optimized KScSe2 structure, with properties calculated at the PBE level.

Space-group type ... P-1 (2)
Formation energy (no corrections) ... -1.5703 eV/atom
Crystal system ... triclinic

Cell: 3.936 7.064 8.094 Å, 73.99 89.98 89.98°
Fractional coordinates of all 8 atoms:
K: 0.002 0.271 0.012
K: 0.998 0.729 0.988
Sc: 0.000 0.500 0.500
Sc: 0.500 0.000 0.500
Se: 0.000 0.113 0.684
Se: 0.000 0.887 0.316
Se: 0.500 0.399 0.299
Se: 0.500 0.601 0.701

Below is a geometry-optimized K2Sc3Se6 structure, with properties calculated at the PBE level.

Space-group type ... C2/m (12)
Formation energy (no corrections) ... -1.5408 eV/atom
Crystal system ... monoclinic

Cell: 6.704 6.704 8.276 Å, 97.76 97.76 120.00°
Fractional coordinates of all 11 atoms:
K: 0.167 0.833 0.000
K: 0.833 0.167 0.000
Sc: 0.000 0.000 0.500
Sc: 0.333 0.667 0.500
Sc: 0.667 0.333 0.500
Se: 0.067 0.398 0.695
Se: 0.270 0.270 0.305
Se: 0.398 0.067 0.695
Se: 0.602 0.933 0.305
Se: 0.730 0.730 0.695
Se: 0.933 0.602 0.305

Below is a geometry-optimized K2ScSe structure, with properties calculated at the PBE level.

Space-group type ... F-43m (216)
Formation energy (no corrections) ... 0.1011 eV/atom
Crystal system ... cubic

Cell: 5.658 5.658 5.658 Å, 60.00 60.00 60.00°
Fractional coordinates of all 4 atoms:
K: 0.000 0.000 0.000
K: 0.250 0.250 0.250
Sc: 0.500 0.500 0.500
Se: 0.750 0.750 0.750

Below is a geometry-optimized KScSe2 structure, with properties calculated at the PBE level.

Space-group type ... Fm-3m (225)
Formation energy (no corrections) ... -1.0316 eV/atom
Crystal system ... cubic

Cell: 5.077 5.077 5.077 Å, 60.00 60.00 60.00°
Fractional coordinates of all 4 atoms:
K: 0.000 0.000 0.000
Sc: 0.500 0.500 0.500
Se: 0.250 0.250 0.250
Se: 0.750 0.750 0.750

Below is a geometry-optimized K2ScSe structure, with properties calculated at the PBE level.

Space-group type ... P4/mmm (123)
Formation energy (no corrections) ... -0.0420 eV/atom
Crystal system ... tetragonal

Cell: 3.709 3.709 10.707 Å, 90.00 90.00 90.00°
Fractional coordinates of all 4 atoms:
K: 0.000 0.000 0.176
K: 0.000 0.000 0.824
Sc: 0.500 0.500 0.500
Se: 0.500 0.500 0.000

Below is a geometry-optimized KScSe structure, with properties calculated at the PBE level.

Space-group type ... F-43m (216)
Formation energy (no corrections) ... 0.3369 eV/atom
Crystal system ... cubic

Cell: 5.128 5.128 5.128 Å, 60.00 60.00 60.00°
Fractional coordinates of all 3 atoms:
K: 0.000 0.000 0.000
Sc: 0.250 0.250 0.250
Se: 0.750 0.750 0.750

Below is a geometry-optimized KScSe2 structure, with properties calculated at the PBE level.

Space-group type ... C2/c (15)
Formation energy (no corrections) ... -1.4078 eV/atom
Crystal system ... monoclinic

Cell: 7.240 7.240 17.874 Å, 96.14 96.14 89.99°
Fractional coordinates of all 32 atoms:
K: 0.104 0.730 0.920
K: 0.270 0.896 0.580
K: 0.271 0.404 0.587
K: 0.404 0.271 0.087
K: 0.596 0.729 0.913
K: 0.729 0.596 0.413
K: 0.730 0.104 0.420
K: 0.896 0.270 0.080
Sc: 0.164 0.793 0.165
Sc: 0.202 0.330 0.315
Sc: 0.207 0.836 0.335
Sc: 0.330 0.202 0.815
Sc: 0.670 0.798 0.185
Sc: 0.793 0.164 0.665
Sc: 0.798 0.670 0.685
Sc: 0.836 0.207 0.835
Se: 0.052 0.426 0.752
Se: 0.053 0.947 0.750
Se: 0.123 0.231 0.934
Se: 0.231 0.123 0.434
Se: 0.231 0.597 0.432
Se: 0.403 0.769 0.068
Se: 0.424 0.576 0.250
Se: 0.426 0.052 0.252
Se: 0.574 0.948 0.748
Se: 0.576 0.424 0.750
Se: 0.597 0.231 0.932
Se: 0.769 0.403 0.568
Se: 0.769 0.877 0.566
Se: 0.877 0.769 0.066
Se: 0.947 0.053 0.250
Se: 0.948 0.574 0.248

Below is a geometry-optimized K2ScSe structure, with properties calculated at the PBE level.

Space-group type ... I-42d (122)
Formation energy (no corrections) ... -0.3694 eV/atom
Crystal system ... tetragonal

Cell: 9.106 9.106 9.106 Å, 94.54 94.54 147.31°
Fractional coordinates of all 8 atoms:
K: 0.375 0.024 0.149
K: 0.774 0.625 0.649
K: 0.875 0.226 0.851
K: 0.976 0.125 0.351
Sc: 0.250 0.750 0.500
Sc: 0.500 0.500 0.000
Se: 0.000 0.000 0.000
Se: 0.750 0.250 0.500

Below is a geometry-optimized KScSe2 structure, with properties calculated at the PBE level.

Space-group type ... Pnma (62)
Formation energy (no corrections) ... -1.4813 eV/atom
Crystal system ... orthorhombic

Cell: 8.033 3.869 16.520 Å, 90.00 90.00 90.00°
Fractional coordinates of all 16 atoms:
K: 0.075 0.250 0.124
K: 0.425 0.750 0.624
K: 0.575 0.250 0.376
K: 0.925 0.750 0.876
Sc: 0.029 0.750 0.406
Sc: 0.471 0.250 0.906
Sc: 0.529 0.750 0.094
Sc: 0.971 0.250 0.594
Se: 0.047 0.750 0.692
Se: 0.217 0.250 0.488
Se: 0.283 0.750 0.988
Se: 0.453 0.250 0.192
Se: 0.547 0.750 0.808
Se: 0.717 0.250 0.012
Se: 0.783 0.750 0.512
Se: 0.953 0.250 0.308

Below is a geometry-optimized KScSe4 structure, with properties calculated at the PBE level.

Space-group type ... P4/nbm (125)
Formation energy (no corrections) ... -1.0531 eV/atom
Crystal system ... tetragonal

Cell: 6.102 6.102 8.263 Å, 90.00 90.00 90.00°
Fractional coordinates of all 12 atoms:
K: 0.250 0.250 0.000
K: 0.750 0.750 0.000
Sc: 0.250 0.250 0.500
Sc: 0.750 0.750 0.500
Se: 0.109 0.609 0.303
Se: 0.109 0.891 0.697
Se: 0.391 0.609 0.697
Se: 0.391 0.891 0.303
Se: 0.609 0.109 0.697
Se: 0.609 0.391 0.303
Se: 0.891 0.109 0.303
Se: 0.891 0.391 0.697

Below is a geometry-optimized K3ScSe3 structure, with properties calculated at the PBE level.

Space-group type ... P2_1/c (14)
Formation energy (no corrections) ... -1.3967 eV/atom
Crystal system ... monoclinic

Cell: 8.270 13.891 10.625 Å, 90.00 127.54 90.00°
Fractional coordinates of all 28 atoms:
K: 0.121 0.120 0.473
K: 0.121 0.380 0.973
K: 0.175 0.111 0.894
K: 0.175 0.389 0.394
K: 0.334 0.677 0.547
K: 0.334 0.823 0.047
K: 0.666 0.177 0.953
K: 0.666 0.323 0.453
K: 0.825 0.611 0.606
K: 0.825 0.889 0.106
K: 0.879 0.620 0.027
K: 0.879 0.880 0.527
Sc: 0.448 0.067 0.339
Sc: 0.448 0.433 0.839
Sc: 0.552 0.567 0.161
Sc: 0.552 0.933 0.661
Se: 0.177 0.197 0.197
Se: 0.177 0.303 0.697
Se: 0.323 0.602 0.857
Se: 0.323 0.898 0.357
Se: 0.356 0.546 0.271
Se: 0.356 0.954 0.771
Se: 0.644 0.046 0.229
Se: 0.644 0.454 0.729
Se: 0.677 0.102 0.643
Se: 0.677 0.398 0.143
Se: 0.823 0.697 0.303
Se: 0.823 0.803 0.803